# BaTcIN2

A geometry-optimized BaTcIN2 structure (GGA-PBE, Alexandria via LeMat-Bulk).

abc: 4.6666 4.6666 6.8843
angles: 90.00 90.00 90.00
Element x y z (fractional)
Ba  0.0000  0.0000  0.0000
Tc  0.5000  0.5000  0.5000
I  0.0000  0.0000  0.5000
N  0.0000  0.5000  0.0000
N  0.5000  0.0000  0.0000

- formation energy without anion corrections (meV/atom) = 2017
- space group = P4/mmm, No. 123
- distance to the lowest polymorph of the same formula (eV per atom) = 1.668
- magnetic moment (μB per formula unit) = 6.5